Material: MnTc
Method: DFT, PBE
State: relaxed

DOS at the Fermi energy	1.31	states/eV per atom
M_tot	0.0	μB per formula unit
energy relative to the elements	0.6328	eV/atom
E_tot	-292.3	eV/cell

Structure (POSCAR):
```
MnTc
1.0
-4.8012 -4.1299 -2.2064
0.6294 -4.0895 6.2853
-6.0261 4.9593 3.8302
Mn Tc
16 16
Cartesian
-0.7559 -0.6502 -0.3474
-4.0453 -3.4797 -1.8590
-1.4788 -2.2096 5.4673
-2.9907 -3.5101 4.7725
-3.4543 -0.2154 4.7104
-6.7436 -3.0448 3.1988
-4.8066 2.3148 4.2398
-6.3184 1.0143 3.5450
-6.1696 -0.2356 0.4645
-4.6577 1.0649 1.1593
-6.8925 -1.7949 6.2792
-8.4043 -3.0954 5.5845
-2.8418 -4.7600 1.6921
-1.3300 -3.4595 2.3868
-4.1941 -2.2298 1.2215
-5.7060 -3.5303 0.5267
0.4274 -2.7770 4.2680
0.2020 -1.3125 2.0172
-2.6622 -0.0828 0.8519
-2.4368 -1.5473 3.1027
-2.9003 1.7474 3.0405
-2.4963 -0.8777 7.0750
-5.3605 0.3521 5.9096
-5.1351 -1.1124 8.1604
-4.9862 -2.3624 5.0800
-5.2116 -0.8979 2.8292
-8.0758 0.3318 1.6638
-7.8504 -1.1326 3.9146
-2.2879 -2.7972 0.0222
-1.8839 -5.4223 4.0567
-4.7481 -4.1926 2.8913
-4.5227 -5.6570 5.1421
```